(1)
A relaxed MnS3O crystal. Source: Alexandria, functional PBE+U.

abc: 4.3095 4.3095 4.3095
angles: 90.00 90.00 90.00
Last column: nearest neighbours and their distance in Å.
Fractional positions:
Mn (0.0000, 0.0000, 0.0000)  6 S 2.15
S (0.0000, 0.5000, 0.0000)  2 Mn 2.15
S (0.0000, 0.0000, 0.5000)  2 Mn 2.15
S (0.5000, 0.0000, 0.0000)  2 Mn 2.15
O (0.5000, 0.5000, 0.5000)  12 S 3.05

- DOS(E_F): 8.019 states/eV per cell
- Electronic total energy: -3.52 eV per atom
- Relative energy among the computed polymorphs: 917 meV/atom
- Calculated density: 3.5 g/cm³

(2)
A relaxed MnSO5 crystal. Source: Alexandria, functional PBE+U.

abc: 5.3137 5.3137 6.9381
angles: 74.00 74.00 99.58
Last column: nearest neighbours and their distance in Å.
Fractional positions:
Mn (0.5000, 0.5000, 0.5000)  4 O 1.85-2.05
Mn (0.5000, 0.5000, 0.0000)  4 O 1.85-2.05
O (0.6360, 0.1792, 0.1322)  1 S 1.49
O (0.1792, 0.6360, 0.6322)  1 S 1.49
O (0.5799, 0.4201, 0.7500)  2 Mn 1.85
O (0.8208, 0.3640, 0.3678)  1 S 1.49
O (0.7658, 0.8874, 0.4013)  1 S 1.48
O (0.1126, 0.2342, 0.0987)  1 S 1.48
O (0.4201, 0.5799, 0.2500)  2 Mn 1.85
O (0.2342, 0.1126, 0.5987)  1 S 1.48
O (0.3640, 0.8208, 0.8678)  1 S 1.49
O (0.8874, 0.7658, 0.9013)  1 S 1.48
S (0.1670, 0.8330, 0.7500)  4 O 1.48-1.49
S (0.8330, 0.1670, 0.2500)  4 O 1.48-1.49

- DOS(E_F): 5.038 states/eV per cell
- Electronic total energy: -6.39 eV per atom
- Calculated density: 3.2 g/cm³

(3)
A relaxed Mn2SO2 crystal. Source: Alexandria, functional PBE+U.

abc: 3.6161 3.6161 5.9652
angles: 72.36 72.36 90.00
Last column: nearest neighbours and their distance in Å.
Fractional positions:
O (0.2500, 0.7500, 0.5000)  4 Mn 2.04
O (0.7500, 0.2500, 0.5000)  4 Mn 2.04
Mn (0.3372, 0.3372, 0.3255)  4 O 2.04
Mn (0.6628, 0.6628, 0.6745)  4 O 2.04
S (0.0000, 0.0000, 0.0000)  8 Mn 3.10, 8 O 3.25

- DOS(E_F): 0.931 states/eV per cell
- Electronic total energy: -6.70 eV per atom
- Calculated density: 4.1 g/cm³

(4)
A relaxed Mn2S3O12 crystal. Source: Alexandria, functional PBE+U.

abc: 8.1164 8.1164 9.3488
angles: 62.59 62.59 63.07
Last column: nearest neighbours and their distance in Å.
Fractional positions:
O (0.5102, 0.8108, 0.9774)  1 S 1.43
O (0.9410, 0.1738, 0.8138)  1 S 1.46
O (0.4587, 0.0922, 0.3255)  1 S 1.51
O (0.0590, 0.8262, 0.1862)  1 S 1.46
O (0.8295, 0.9877, 0.3900)  1 S 1.50
O (0.6166, 0.3301, 0.1208)  1 S 1.52
O (0.9877, 0.8295, 0.8900)  1 S 1.50
O (0.1738, 0.9410, 0.3138)  1 S 1.46
O (0.0123, 0.1705, 0.1100)  1 S 1.50
O (0.6699, 0.3834, 0.3792)  1 S 1.52
O (0.8262, 0.0590, 0.6862)  1 S 1.46
O (0.1705, 0.0123, 0.6100)  1 S 1.50
O (0.3301, 0.6166, 0.6208)  1 S 1.52
O (0.5940, 0.7322, 0.3014)  1 S 1.52
O (0.7322, 0.5940, 0.8014)  1 S 1.52
O (0.1892, 0.4898, 0.5226)  1 S 1.43
O (0.4060, 0.2678, 0.6986)  1 S 1.52
O (0.8108, 0.5102, 0.4774)  1 S 1.43
O (0.3834, 0.6699, 0.8792)  1 S 1.52
O (0.0922, 0.4587, 0.8255)  1 S 1.51
O (0.9078, 0.5413, 0.1745)  1 S 1.51
O (0.5413, 0.9078, 0.6745)  1 S 1.51
O (0.2678, 0.4060, 0.1986)  1 S 1.52
O (0.4898, 0.1892, 0.0226)  1 S 1.43
S (0.5399, 0.7499, 0.8438)  4 O 1.43-1.52
S (0.9781, 0.0219, 0.7500)  4 O 1.46-1.50
S (0.0219, 0.9781, 0.2500)  4 O 1.46-1.50
S (0.2501, 0.4601, 0.6562)  4 O 1.43-1.52
S (0.4601, 0.2501, 0.1562)  4 O 1.43-1.52
S (0.7499, 0.5399, 0.3438)  4 O 1.43-1.52
Mn (0.8653, 0.3566, 0.9496)  5 O 1.95-2.09
Mn (0.6434, 0.1347, 0.5504)  5 O 1.95-2.09
Mn (0.1347, 0.6434, 0.0504)  5 O 1.95-2.09
Mn (0.3566, 0.8653, 0.4496)  5 O 1.95-2.09

- Electronic total energy: -6.46 eV per atom
- Relative energy among the computed polymorphs: 32 meV/atom
- Calculated density: 2.9 g/cm³

(5)
A relaxed MnSO4 crystal. Source: Alexandria, functional PBE+U.

abc: 4.8890 4.8890 6.9588
angles: 90.00 90.00 114.13
Last column: nearest neighbours and their distance in Å.
Fractional positions:
S (0.6494, 0.3506, 0.2500)  4 O 1.47-1.51
S (0.3506, 0.6494, 0.7500)  4 O 1.47-1.51
O (0.7476, 0.2524, 0.4267)  1 S 1.47
O (0.6890, 0.7722, 0.7500)  1 S 1.51
O (0.2278, 0.3110, 0.7500)  1 S 1.51
O (0.3110, 0.2278, 0.2500)  1 S 1.51
O (0.7476, 0.2524, 0.0733)  1 S 1.47
O (0.7722, 0.6890, 0.2500)  1 S 1.51
O (0.2524, 0.7476, 0.5733)  1 S 1.47
O (0.2524, 0.7476, 0.9267)  1 S 1.47
Mn (0.0000, 0.0000, 0.5000)  6 O 2.13-2.28
Mn (0.0000, 0.0000, 0.0000)  6 O 2.13-2.28

- DOS(E_F): 0.000 states/eV per cell
- Electronic total energy: -6.82 eV per atom
- Calculated density: 3.3 g/cm³

(6)
A relaxed Mn3SO crystal. Source: Alexandria, functional PBE+U.

abc: 4.3813 4.3813 4.3813
angles: 90.00 90.00 90.00
Last column: nearest neighbours and their distance in Å.
Fractional positions:
O (0.0000, 0.0000, 0.0000)  6 Mn 2.19
Mn (0.0000, 0.5000, 0.0000)  2 O 2.19
Mn (0.0000, 0.0000, 0.5000)  2 O 2.19
Mn (0.5000, 0.0000, 0.0000)  2 O 2.19
S (0.5000, 0.5000, 0.5000)  12 Mn 3.10

- DOS(E_F): 4.634 states/eV per cell
- Electronic total energy: -6.54 eV per atom
- Relative energy among the computed polymorphs: 251 meV/atom
- Calculated density: 4.2 g/cm³

(7)
A relaxed Mn2S2O7 crystal. Source: Alexandria, functional PBE+U.

abc: 5.6614 5.6614 9.3246
angles: 103.43 103.43 96.58
Last column: nearest neighbours and their distance in Å.
Fractional positions:
O (0.0001, 0.9999, 0.2500)  2 S 1.91
O (0.9005, 0.6056, 0.8938)  1 S 1.54
O (0.3879, 0.3882, 0.3465)  1 S 1.54
O (0.3949, 0.1000, 0.1064)  1 S 1.54
O (0.6051, 0.9000, 0.8936)  1 S 1.54
O (0.6056, 0.9005, 0.3938)  1 S 1.54
O (0.9000, 0.6051, 0.3936)  1 S 1.54
O (0.6121, 0.6118, 0.6535)  1 S 1.54
O (0.6118, 0.6121, 0.1535)  1 S 1.54
O (0.3944, 0.0995, 0.6062)  1 S 1.54
O (0.9999, 0.0001, 0.7500)  2 S 1.91
O (0.3882, 0.3879, 0.8465)  1 S 1.54
O (0.0995, 0.3944, 0.1062)  1 S 1.54
O (0.1000, 0.3949, 0.6064)  1 S 1.54
Mn (0.2992, 0.7004, 0.5002)  4 O 2.19
Mn (0.7004, 0.2992, 0.0002)  4 O 2.19
Mn (0.2996, 0.7008, 0.9998)  4 O 2.19
Mn (0.7008, 0.2996, 0.4998)  4 O 2.19
S (0.7801, 0.7801, 0.3066)  3 O 1.54
S (0.7801, 0.7801, 0.8066)  3 O 1.54
S (0.2199, 0.2199, 0.6934)  3 O 1.54
S (0.2199, 0.2199, 0.1934)  3 O 1.54

- DOS(E_F): 0.000 states/eV per cell
- Electronic total energy: -6.50 eV per atom
- Calculated density: 3.4 g/cm³

(8)
A relaxed MnSi2SO crystal. Source: Alexandria, functional PBE+U.

abc: 4.8201 3.4322 4.8201
angles: 90.00 90.00 90.00
Last column: nearest neighbours and their distance in Å.
Fractional positions:
S (0.0000, 0.0000, 0.0000)  2 O 1.72
O (0.0000, 0.5000, 0.0000)  2 S 1.72
Mn (0.5000, 0.5000, 0.5000)  8 Si 2.96
Si (0.5000, 0.0000, 0.0000)  2 S 2.41
Si (0.0000, 0.0000, 0.5000)  2 S 2.41

- DOS(E_F): 1.725 states/eV per cell
- Electronic total energy: -5.02 eV per atom
- Calculated density: 3.3 g/cm³

Copy entry 2 word for word.
A relaxed MnSO5 crystal. Source: Alexandria, functional PBE+U.

abc: 5.3137 5.3137 6.9381
angles: 74.00 74.00 99.58
Last column: nearest neighbours and their distance in Å.
Fractional positions:
Mn (0.5000, 0.5000, 0.5000)  4 O 1.85-2.05
Mn (0.5000, 0.5000, 0.0000)  4 O 1.85-2.05
O (0.6360, 0.1792, 0.1322)  1 S 1.49
O (0.1792, 0.6360, 0.6322)  1 S 1.49
O (0.5799, 0.4201, 0.7500)  2 Mn 1.85
O (0.8208, 0.3640, 0.3678)  1 S 1.49
O (0.7658, 0.8874, 0.4013)  1 S 1.48
O (0.1126, 0.2342, 0.0987)  1 S 1.48
O (0.4201, 0.5799, 0.2500)  2 Mn 1.85
O (0.2342, 0.1126, 0.5987)  1 S 1.48
O (0.3640, 0.8208, 0.8678)  1 S 1.49
O (0.8874, 0.7658, 0.9013)  1 S 1.48
S (0.1670, 0.8330, 0.7500)  4 O 1.48-1.49
S (0.8330, 0.1670, 0.2500)  4 O 1.48-1.49

- DOS(E_F): 5.038 states/eV per cell
- Electronic total energy: -6.39 eV per atom
- Calculated density: 3.2 g/cm³